(1)
HfCdP2O after structural relaxation. Source: Alexandria, functional PBE-GGA.

Values from the calculation:
E	-5.8852	eV/atom
ΔE to the lowest computed polymorph	0	meV/atom
V	105.99	Å³ per cell
ΔE_f (raw)	-556	meV/atom
Fermi-level density of states	5.02	states/eV per cell

Unit cell a=5.1969 b=5.1969 c=3.9242 alpha=90.00 beta=90.00 gamma=90.00
With the nearest neighbours (Å) after each atom.
Space group P4/mmm (No. 123)
Symmetry-distinct sites (fractional):
Hf1 0.0000 0.0000 0.0000  2 O 1.96
Cd1 0.5000 0.5000 0.5000  8 P 3.26
P1 0.0000 0.5000 0.0000  2 Hf 2.60
O1 0.0000 0.0000 0.5000  2 Hf 1.96

***

(2)
Ac3Mg2ZnCu6 after structural relaxation. Source: Alexandria, functional PBE-GGA.

Values from the calculation:
ΔE_f	-2	kJ/mol of atoms
E	-3.4680	eV/atom
V	268.91	Å³ per cell
Fermi-level density of states	7.23	states/eV per cell

Unit cell a=5.9644 b=5.9644 c=8.7284 alpha=90.00 beta=90.00 gamma=120.00
With the nearest neighbours (Å) after each atom.
Space group P-3m1 (No. 164)
Symmetry-distinct sites (fractional):
Ac1 0.0000 0.0000 0.0000  6 Cu 3.15, 6 Mg 3.45
Ac2 0.3333 0.6667 0.6173  9 Cu 3.12-3.28
Mg1 0.3333 0.6667 0.0216  3 Cu 2.72
Zn1 0.0000 0.0000 0.5000  6 Cu 2.73
Cu1 0.1894 0.3789 0.2821  2 Cu 2.57, 1 Mg 2.72, 1 Zn 2.73

***

(3)
MgCd3Pt after structural relaxation. Source: Alexandria, functional PBE-GGA.

Values from the calculation:
ΔE_f	-20	kJ/mol of atoms
E	-2.2829	eV/atom
ΔE to the lowest computed polymorph	0	meV/atom
V	469.98	Å³ per cell
Fermi-level density of states	7.50	states/eV per cell

Unit cell a=10.7248 b=8.2076 c=7.0209 alpha=90.00 beta=130.50 gamma=90.00
With the nearest neighbours (Å) after each atom.
Space group C2/m (No. 12)
Symmetry-distinct sites (fractional):
Mg1 0.0647 0.0000 0.2661  2 Pt 2.60-2.67
Cd1 0.0708 0.5000 0.3543  2 Pt 2.74-2.80, 1 Mg 2.98, 2 Cd 3.06
Cd2 0.2481 0.1784 0.7860  2 Pt 2.70-2.83, 1 Cd 2.93
Pt1 0.2449 0.0000 0.1271  2 Mg 2.60-2.67, 6 Cd 2.70-2.83